1.
Here is a geometry-optimized Ac4Nd6Er structure from Alexandria via LeMat-Bulk. Energies are from PBE.

Unit cell a=9.8254 b=9.8254 c=9.8254 alpha=137.16 beta=137.16 gamma=62.19
Sites, in units of the cell vectors:
Ac 0.1263 0.1263 0.6116
Ac 0.4853 0.8737 0.0000
Ac 0.5147 0.5147 0.3884
Ac 0.8737 0.4853 0.0000
Nd 0.0000 0.5000 0.5000
Nd 0.0681 0.7270 0.0000
Nd 0.2730 0.2730 0.3411
Nd 0.5000 0.0000 0.5000
Nd 0.7270 0.0681 0.0000
Nd 0.9319 0.9319 0.6589
Er 0.5000 0.5000 0.0000

Calculated values
ΔE_f	0.24	eV/atom

***

2.
Here is a geometry-optimized AcNd3Er3 structure from Alexandria via LeMat-Bulk. Energies are from PBE.

Unit cell a=9.7733 b=9.7733 c=5.8677 alpha=90.00 beta=90.00 gamma=120.00
Sites, in units of the cell vectors:
Ac 0.3333 0.6667 0.2500
Ac 0.6667 0.3333 0.7500
Nd 0.0942 0.6247 0.7500
Nd 0.3753 0.4695 0.7500
Nd 0.4695 0.0942 0.2500
Nd 0.5305 0.9058 0.7500
Nd 0.6247 0.5305 0.2500
Nd 0.9058 0.3753 0.2500
Er 0.0424 0.8145 0.2500
Er 0.1855 0.2279 0.2500
Er 0.2279 0.0424 0.7500
Er 0.7721 0.9576 0.2500
Er 0.8145 0.7721 0.7500
Er 0.9576 0.1855 0.7500

Calculated values
ΔE_f	0.04	eV/atom

***

What is the formula in the first record?
Ac4Nd6Er

***

Which value of ΔE_f does entry 2 give?
0.04 eV/atom

***

Which formula does entry 2 have?
AcNd3Er3

***

Repeat the first record exactly.
Here is a geometry-optimized Ac4Nd6Er structure from Alexandria via LeMat-Bulk. Energies are from PBE.

Unit cell a=9.8254 b=9.8254 c=9.8254 alpha=137.16 beta=137.16 gamma=62.19
Sites, in units of the cell vectors:
Ac 0.1263 0.1263 0.6116
Ac 0.4853 0.8737 0.0000
Ac 0.5147 0.5147 0.3884
Ac 0.8737 0.4853 0.0000
Nd 0.0000 0.5000 0.5000
Nd 0.0681 0.7270 0.0000
Nd 0.2730 0.2730 0.3411
Nd 0.5000 0.0000 0.5000
Nd 0.7270 0.0681 0.0000
Nd 0.9319 0.9319 0.6589
Er 0.5000 0.5000 0.0000

Calculated values
ΔE_f	0.24	eV/atom